[1]
Ba3Cd5F12, relaxed, DFT PBE; crystal system = cubic; theoretical density = 4.98 g cm⁻³; final energy = -4.158 eV per atom
1.0
12.773 0.000 0.000
-4.258 12.043 0.000
-4.258 -6.021 10.429
Ba Cd F
12 20 48
Direct
0.750 0.375 0.125
0.875 0.750 0.125
0.375 0.750 0.625
0.250 0.125 0.375
0.875 0.125 0.250
0.375 0.625 0.250
0.625 0.375 0.750
0.125 0.875 0.750
0.750 0.875 0.625
0.625 0.250 0.375
0.125 0.250 0.875
0.250 0.625 0.875
0.125 0.375 0.250
0.000 0.500 0.000
0.000 0.000 0.000
0.375 0.250 0.125
0.500 0.000 0.500
0.500 0.500 0.000
0.125 0.750 0.375
0.750 0.125 0.875
0.750 0.625 0.375
0.375 0.125 0.750
0.625 0.875 0.250
0.500 0.500 0.500
0.500 0.000 0.000
0.000 0.000 0.500
0.250 0.375 0.625
0.250 0.875 0.125
0.000 0.500 0.500
0.875 0.250 0.625
0.625 0.750 0.875
0.875 0.625 0.750
0.708 0.128 0.048
0.340 0.548 0.420
0.952 0.372 0.292
0.548 0.208 0.128
0.580 0.708 0.660
0.952 0.580 0.160
0.340 0.792 0.420
0.080 0.920 0.128
0.580 0.952 0.660
0.708 0.580 0.160
0.792 0.452 0.372
0.840 0.920 0.048
0.128 0.708 0.548
0.372 0.420 0.080
0.080 0.920 0.372
0.420 0.128 0.580
0.080 0.160 0.208
0.452 0.660 0.080
0.840 0.920 0.292
0.128 0.420 0.080
0.372 0.952 0.792
0.580 0.628 0.420
0.920 0.840 0.548
0.792 0.340 0.920
0.420 0.372 0.580
0.080 0.160 0.452
0.208 0.660 0.080
0.160 0.080 0.708
0.628 0.048 0.208
0.872 0.580 0.920
0.548 0.340 0.920
0.580 0.872 0.420
0.920 0.840 0.792
0.920 0.080 0.628
0.872 0.292 0.452
0.160 0.080 0.952
0.628 0.580 0.920
0.420 0.048 0.340
0.292 0.420 0.840
0.208 0.548 0.628
0.920 0.080 0.872
0.660 0.208 0.580
0.452 0.792 0.872
0.048 0.420 0.840
0.420 0.292 0.340
0.048 0.628 0.708
0.660 0.452 0.580
0.292 0.872 0.952

[2]
BaCdF2, relaxed, DFT PBE; crystal system = trigonal; theoretical density = 4.47 g cm⁻³; energy relative to the lowest polymorph listed for this composition = 817 meV per atom
1.0
2.552 0.000 6.315
-1.276 2.210 6.315
-1.276 -2.210 6.315
F Ba Cd
2 1 1
Direct
0.871 0.871 0.871
0.129 0.129 0.129
0.000 0.000 0.000
0.500 0.500 0.500

[3]
Ba2CdF, relaxed, DFT PBE; crystal system = trigonal; theoretical density = 3.29 g cm⁻³; energy relative to the lowest polymorph listed for this composition = 62 meV per atom
1.0
-1.708 -3.046 3.849
2.849 -0.590 4.306
-3.686 5.657 6.349
F Ba Cd
1 2 1
Direct
0.000 0.000 0.000
0.093 0.093 0.720
0.907 0.907 0.280
0.500 0.500 0.500